A plane-wave DFT calculation with PBE+U was carried out for crystalline CrSbIO2 at its relaxed geometry.

Unit cell a=4.1687 b=4.1687 c=5.2856 alpha=90.00 beta=90.00 gamma=90.00
Closest atoms and distances in Å follow each position.
Space group P4/mmm (No. 123)
Asymmetric unit:
1 Cr 0.0000 0.0000 0.0000 [1 per cell]  4 O 2.08
2 Sb 0.5000 0.5000 0.5000 [1 per cell]  4 I 2.95
3 I 0.0000 0.0000 0.5000 [1 per cell]  2 Cr 2.64, 4 Sb 2.95
4 O 0.0000 0.5000 0.0000 [2 per cell]  2 Cr 2.08

Computed properties:
total DFT energy (no corrections)	-4.768	eV per atom
total magnetization	3.26	μB per formula unit
crystal system	tetragonal
DOS at the Fermi energy	2.5	states/eV/cell